Record 1
Here is crystalline ScHN2 at its relaxed geometry from Alexandria. Energies are from GGA-PBE.

Cell and atoms, written as POSCAR:
```
ScHN2
1.0
-1.678 2.722 1.687
-2.673 -0.141 -2.431
-4.695 -2.101 2.594
N Sc H
4 2 2
direct
0.875 0.679 0.750
0.429 0.125 0.250
0.375 0.571 0.750
0.321 0.625 0.250
0.000 0.000 0.000
0.750 0.250 0.500
0.250 0.750 0.500
0.500 0.500 0.000
```

Results
Its crystal system is tetragonal. The calculation puts the energy above the lowest structure with this stoichiometry at 353 meV per atom. As for the space group: I-42d, No. 122.

Record 2
Here is crystalline Cs2CuAgP at its relaxed geometry from Alexandria. Energies are from GGA-PBE.

Cell and atoms, written as POSCAR:
```
Cs2CuAgP
1.0
-0.841 5.015 -4.932
-6.554 1.245 2.383
1.527 2.897 2.686
P Ag Cs Cu
1 1 2 1
direct
0.000 0.000 0.000
0.500 0.500 0.500
0.000 0.500 0.000
0.500 0.000 0.000
0.000 0.000 0.500
```

Results
Its crystal system is tetragonal. Its formation energy is 0.14 eV/f.u. The calculation puts the energy above the lowest structure with this stoichiometry at 4 meV per atom. As for the space group: P4/mmm, No. 123.

Record 3
Here is crystalline MgMnIn2 at its relaxed geometry from Alexandria. Energies are from GGA-PBE.

Cell and atoms, written as POSCAR:
```
MgMnIn2
1.0
-2.126 -2.984 2.386
-0.527 -2.474 -3.564
3.697 -1.975 0.824
Mg In Mn
1 2 1
direct
0.500 0.000 0.500
0.500 0.500 0.000
0.000 0.000 0.000
0.000 0.500 0.500
```

Results
Its crystal system is tetragonal. Its formation energy is 0.35 eV/f.u. As for the space group: P4/mmm, No. 123.

Record 4
Here is crystalline Pr7Ho2 at its relaxed geometry from Alexandria. Energies are from GGA-PBE.

Cell and atoms, written as POSCAR:
```
Pr7Ho2
1.0
6.361 0.000 0.000
-3.180 5.509 0.000
0.000 0.000 8.999
Pr Ho
7 2
direct
0.334 0.334 0.329
0.000 0.000 0.000
0.334 0.000 0.671
0.666 0.666 0.671
0.000 0.666 0.329
0.666 0.000 0.329
0.000 0.334 0.671
0.667 0.333 0.000
0.333 0.667 0.000
```

Results
Its crystal system is trigonal. Its formation energy is 0.16 eV/f.u. The calculation puts the energy above the lowest structure with this stoichiometry at 0 meV per atom. As for the space group: P-31m, No. 162.

Record 5
Here is crystalline CsMgTe2H at its relaxed geometry from Alexandria. Energies are from GGA-PBE.

Cell and atoms, written as POSCAR:
```
CsMgTe2H
1.0
6.807 0.000 0.000
0.000 3.339 0.000
0.000 0.000 6.807
H Mg Te Cs
1 1 2 1
direct
0.000 0.000 0.000
0.000 0.500 0.000
0.500 0.000 0.000
0.000 0.000 0.500
0.500 0.500 0.500
```

Results
Its crystal system is tetragonal. The final energy is -2.63 eV per atom. As for the space group: P4/mmm, No. 123.

Record 6
Here is crystalline PmHf2Al at its relaxed geometry from Alexandria. Energies are from GGA-PBE.

Cell and atoms, written as POSCAR:
```
PmHf2Al
1.0
4.483 0.000 0.000
0.000 4.507 0.000
0.000 0.000 4.507
Hf Pm Al
2 1 1
direct
0.000 0.500 0.000
0.000 0.000 0.500
0.500 0.500 0.500
0.500 0.000 0.000
```

Results
Its crystal system is tetragonal. Its formation energy is -0.21 eV/f.u. The calculation puts the energy above the lowest structure with this stoichiometry at 0 meV per atom. As for the space group: P4/mmm, No. 123.

Record 7
Here is crystalline DyMgNiAg at its relaxed geometry from Alexandria. Energies are from GGA-PBE.

Cell and atoms, written as POSCAR:
```
DyMgNiAg
1.0
4.778 0.000 0.000
2.389 4.138 0.000
2.389 1.379 3.901
Ag Mg Ni Dy
1 1 1 1
direct
0.000 0.000 0.000
0.250 0.250 0.250
0.500 0.500 0.500
0.750 0.750 0.750
```

Results
Its crystal system is cubic. Its formation energy is -0.96 eV/f.u. As for the space group: F-43m, No. 216.

Record 8
Here is crystalline SrHgBr4 at its relaxed geometry from Alexandria. Energies are from GGA-PBE.

Cell and atoms, written as POSCAR:
```
SrHgBr4
1.0
0.000 4.600 4.600
4.600 0.000 4.600
4.600 4.600 0.000
Br Hg Sr
4 1 1
direct
0.375 0.876 0.375
0.375 0.375 0.375
0.375 0.375 0.876
0.876 0.375 0.375
0.750 0.750 0.750
0.000 0.000 0.000
```

Results
Its crystal system is cubic. The calculation puts the energy above the lowest structure with this stoichiometry at 745 meV per atom. Its raw formation energy is -495 meV per atom. As for the space group: F-43m, No. 216.